A relaxed structure of NbCdSn2. Source: the Alexandria database, functional GGA-PBE.

a b c (Å): 4.394 4.394 6.458
angles (deg): 70.11 70.11 60.00
Positions (direct):
Cd (0.496, 0.496, 0.512)
Sn (0.259, 0.259, 0.222)
Sn (0.077, 0.077, 0.770)
Nb (0.668, 0.668, 0.996)

Values from the calculation:
VASP energy   -4.45 eV per atom


A relaxed structure of NbCdSn2. Source: the Alexandria database, functional GGA-PBE.

a b c (Å): 7.992 7.992 6.414
angles (deg): 51.46 51.46 90.00
Positions (direct):
Nb (0.500, 0.500, 0.000)
Nb (0.250, 0.750, 0.500)
Cd (0.000, 0.000, 0.000)
Cd (0.750, 0.250, 0.500)
Sn (0.375, 0.386, 0.750)
Sn (0.875, 0.864, 0.750)
Sn (0.136, 0.625, 0.250)
Sn (0.614, 0.125, 0.250)

Values from the calculation:
VASP energy   -4.27 eV per atom


A relaxed structure of Nb3CdSn. Source: the Alexandria database, functional GGA-PBE.

a b c (Å): 4.991 4.991 4.991
angles (deg): 90.00 90.00 90.00
Positions (direct):
Cd (0.000, 0.000, 0.000)
Nb (0.000, 0.000, 0.500)
Nb (0.500, 0.000, 0.000)
Nb (0.000, 0.500, 0.000)
Sn (0.500, 0.500, 0.500)

Values from the calculation:
ΔE to the lowest computed polymorph   0.108 eV/atom


A relaxed structure of Nb3CdSn. Source: the Alexandria database, functional GGA-PBE.

a b c (Å): 5.065 5.065 5.065
angles (deg): 90.00 90.00 90.00
Positions (direct):
Nb (0.000, 0.500, 0.000)
Nb (0.500, 0.000, 0.000)
Nb (0.000, 0.000, 0.500)
Cd (0.500, 0.500, 0.500)
Sn (0.000, 0.000, 0.000)

Values from the calculation:
ΔE to the lowest computed polymorph   0.000 eV/atom


no.,calculated density (g cm⁻³),density of states at the Fermi level (states/eV per cell)
1,7.4,2.87
2,7.6,12.62
3,6.8,11.99
4,6.5,8.27